1.
Material: PmTlCl2
Method: DFT, PBE
State: optimized geometry

Cell lengths 3.6632, 3.6632, 10.6502 Å; angles 80.10, 80.10, 60.00 degrees
Element x y z (fractional)
Tl (0.0000, 0.0000, 0.0000)
Cl (0.1060, 0.1060, 0.6819)
Cl (0.8940, 0.8940, 0.3181)
Pm (0.5000, 0.5000, 0.5000)

## Properties
Uncorrected formation energy (kJ/mol of atoms): -132.6
Calculated total energy (eV/cell): -16.306

2.
Material: ReHgTe2
Method: DFT, PBE
State: optimized geometry

Cell lengths 3.1457, 3.1457, 11.0752 Å; angles 90.00, 90.00, 117.24 degrees
Element x y z (fractional)
Hg (0.0000, 0.0000, 0.5409)
Re (0.5000, 0.5000, 0.7529)
Te (0.0000, 0.0000, 0.9395)
Te (0.5000, 0.5000, 0.2667)

## Properties
Energy above the lowest structure with this stoichiometry (kJ/mol of atoms): 43.5
Uncorrected formation energy (kJ/mol of atoms): 65.0
Calculated total energy (eV/cell): -16.338

3.
Material: CaNi2Se
Method: DFT, PBE
State: optimized geometry

Cell lengths 5.0417, 5.0417, 5.0417 Å; angles 133.80, 133.80, 67.41 degrees
Element x y z (fractional)
Ni (0.0000, 0.0000, 0.0000)
Ni (0.5000, 0.5000, 0.0000)
Ca (0.7500, 0.2500, 0.5000)
Se (0.2500, 0.7500, 0.5000)

## Properties
Uncorrected formation energy (kJ/mol of atoms): -12.7
Calculated total energy (eV/cell): -17.576

4.
Material: K2CdH
Method: DFT, PBE
State: optimized geometry

Cell lengths 8.3191, 8.3191, 7.1739 Å; angles 54.56, 54.56, 90.00 degrees
Element x y z (fractional)
H (0.5000, 0.5000, 0.0000)
H (0.2500, 0.7500, 0.5000)
K (0.5207, 0.1250, 0.2500)
K (0.2293, 0.6250, 0.2500)
K (0.3750, 0.4793, 0.7500)
K (0.8750, 0.7707, 0.7500)
Cd (0.0000, 0.0000, 0.0000)
Cd (0.7500, 0.2500, 0.5000)

## Properties
Energy above the lowest structure with this stoichiometry (kJ/mol of atoms): 6.3
Calculated total energy (eV/cell): -12.688

5.
Material: Y3Zn8Ag
Method: DFT, PBE
State: optimized geometry

Cell lengths 5.3860, 5.3860, 9.3780 Å; angles 73.31, 73.31, 60.00 degrees
Element x y z (fractional)
Y (0.3775, 0.3775, 0.8674)
Y (0.9934, 0.9934, 0.0198)
Y (0.5036, 0.5036, 0.4892)
Zn (0.9364, 0.4382, 0.1872)
Zn (0.4369, 0.9387, 0.6858)
Zn (0.4382, 0.4382, 0.1872)
Zn (0.9387, 0.9387, 0.6858)
Zn (0.1881, 0.1881, 0.4358)
Zn (0.6875, 0.6875, 0.9376)
Zn (0.4382, 0.9364, 0.1872)
Zn (0.9387, 0.4369, 0.6858)
Ag (0.8729, 0.8729, 0.3812)

## Properties
Calculated total energy (eV/cell): -36.011
Formation energy (meV per atom): -298

6.
Material: Co2Mo
Method: DFT, PBE
State: optimized geometry

Cell lengths 7.0517, 7.0517, 2.5923 Å; angles 90.00, 90.00, 120.00 degrees
Element x y z (fractional)
Co (0.0000, 0.3091, 0.0000)
Co (0.0000, 0.6460, 0.5000)
Co (0.3091, 0.0000, 0.0000)
Co (0.6909, 0.6909, 0.0000)
Co (0.6460, 0.0000, 0.5000)
Co (0.3540, 0.3540, 0.5000)
Mo (0.0000, 0.0000, 0.5000)
Mo (0.3333, 0.6667, 0.0000)
Mo (0.6667, 0.3333, 0.0000)

## Properties
Calculated total energy (eV/cell): -73.719
Formation energy (meV per atom): 157

7.
Material: AcScFe4
Method: DFT, PBE
State: optimized geometry

Cell lengths 5.1927, 5.1927, 5.1927 Å; angles 60.00, 60.00, 60.00 degrees
Element x y z (fractional)
Sc (0.0000, 0.0000, 0.0000)
Ac (0.2500, 0.2500, 0.2500)
Fe (0.6263, 0.6263, 0.1212)
Fe (0.6263, 0.1212, 0.6263)
Fe (0.6263, 0.6263, 0.6263)
Fe (0.1212, 0.6263, 0.6263)

## Properties
Calculated total energy (eV/cell): -43.865
Formation energy (meV per atom): 71

8.
Material: CsMgV
Method: DFT, PBE
State: optimized geometry

Cell lengths 3.3671, 3.3663, 16.7259 Å; angles 107.46, 95.86, 90.00 degrees
Element x y z (fractional)
Cs (0.1314, 0.7032, 0.4534)
Cs (0.2726, 0.1495, 0.7416)
Mg (0.5234, 0.8945, 0.2437)
Mg (0.8748, 0.9590, 0.9508)
V (0.4342, 0.6336, 0.0679)
V (0.9640, 0.2209, 0.1267)

## Properties
Energy above the lowest structure with this stoichiometry (kJ/mol of atoms): 0.0
Calculated total energy (eV/cell): -20.161
Formation energy (meV per atom): 495

9.
Material: SrBi
Method: DFT, PBE
State: optimized geometry

Cell lengths 4.3652, 4.3652, 3.7248 Å; angles 90.00, 90.00, 90.00 degrees
Element x y z (fractional)
Sr (0.0000, 0.0000, 0.0000)
Bi (0.5000, 0.5000, 0.5000)

## Properties
Calculated total energy (eV/cell): -7.087
Formation energy (meV per atom): -762

10.
Material: CdSnOF2
Method: DFT, PBE
State: optimized geometry

Cell lengths 4.5183, 4.5183, 4.1004 Å; angles 90.00, 90.00, 90.00 degrees
Element x y z (fractional)
F (0.0000, 0.5000, 0.0000)
F (0.5000, 0.0000, 0.0000)
Sn (0.0000, 0.0000, 0.0000)
O (0.0000, 0.0000, 0.5000)
Cd (0.5000, 0.5000, 0.5000)

## Properties
Energy above the lowest structure with this stoichiometry (kJ/mol of atoms): 0.0
Uncorrected formation energy (kJ/mol of atoms): -134.8
Calculated total energy (eV/cell): -20.606

11.
Material: CeHo8Er6
Method: DFT, PBE
State: optimized geometry

Cell lengths 6.4683, 9.3345, 9.3345 Å; angles 120.00, 90.00, 90.00 degrees
Element x y z (fractional)
Ce (0.5000, 0.0000, 0.0000)
Ho (0.9038, 0.9747, 0.3127)
Ho (0.9038, 0.6873, 0.6620)
Ho (0.9038, 0.3380, 0.0253)
Ho (0.0962, 0.0253, 0.6873)
Ho (0.0962, 0.3127, 0.3380)
Ho (0.0962, 0.6620, 0.9747)
Ho (0.8251, 0.3333, 0.6667)
Ho (0.1749, 0.6667, 0.3333)
Er (0.5918, 0.6804, 0.0922)
Er (0.5918, 0.9078, 0.5882)
Er (0.5918, 0.4118, 0.3196)
Er (0.4082, 0.3196, 0.9078)
Er (0.4082, 0.0922, 0.4118)
Er (0.4082, 0.5882, 0.6804)

## Properties
Energy above the lowest structure with this stoichiometry (kJ/mol of atoms): 5.9
Calculated total energy (eV/cell): -66.132
Formation energy (meV per atom): 253

12.
Material: BaZnBr2
Method: DFT, PBE
State: optimized geometry

Cell lengths 5.3447, 8.7611, 4.4400 Å; angles 59.63, 89.95, 127.56 degrees
Element x y z (fractional)
Ba (0.5000, 0.0000, 0.5000)
Br (0.0000, 0.0000, 0.0000)
Br (0.0000, 0.5000, 0.5000)
Zn (0.5000, 0.5000, 0.0000)

## Properties
Energy above the lowest structure with this stoichiometry (kJ/mol of atoms): 7.4
Uncorrected formation energy (kJ/mol of atoms): -122.0
Calculated total energy (eV/cell): -11.601

13.
Material: NdThPb2
Method: DFT, PBE
State: optimized geometry

Cell lengths 4.5676, 4.6431, 6.4264 Å; angles 90.00, 110.83, 90.00 degrees
Element x y z (fractional)
Nd (0.4510, 0.5000, 0.4409)
Th (0.7139, 0.0000, 0.9669)
Pb (0.1822, 0.5000, 0.9040)
Pb (0.9839, 0.0000, 0.5063)

## Properties
Energy above the lowest structure with this stoichiometry (kJ/mol of atoms): 0.0
Calculated total energy (eV/cell): -21.266
Formation energy (meV per atom): -415

14.
Material: BeNbRu2
Method: DFT, PBE
State: optimized geometry

Cell lengths 6.5900, 6.5900, 5.3378 Å; angles 51.88, 51.88, 90.00 degrees
Element x y z (fractional)
Ru (0.5594, 0.1250, 0.2500)
Ru (0.1906, 0.6250, 0.2500)
Ru (0.3750, 0.4406, 0.7500)
Ru (0.8750, 0.8094, 0.7500)
Nb (0.0000, 0.0000, 0.0000)
Nb (0.7500, 0.2500, 0.5000)
Be (0.5000, 0.5000, 0.0000)
Be (0.2500, 0.7500, 0.5000)

## Properties
Calculated total energy (eV/cell): -63.100
Formation energy (meV per atom): 199

15.
Material: YMgFe2
Method: DFT, PBE
State: optimized geometry

Cell lengths 9.3317, 9.3317, 9.3317 Å; angles 18.85, 18.85, 18.85 degrees
Element x y z (fractional)
Fe (0.9969, 0.9969, 0.9969)
Fe (0.5031, 0.5031, 0.5031)
Mg (0.2500, 0.2500, 0.2500)
Y (0.7500, 0.7500, 0.7500)

## Properties
Calculated total energy (eV/cell): -22.793
Formation energy (meV per atom): 548

16.
Material: V2AsH2
Method: DFT, PBE
State: optimized geometry

Cell lengths 4.9509, 4.9509, 5.0698 Å; angles 106.87, 106.87, 113.84 degrees
Element x y z (fractional)
V (0.1924, 0.3076, 0.7500)
V (0.4422, 0.0578, 0.2500)
V (0.5578, 0.9422, 0.7500)
V (0.8076, 0.6924, 0.2500)
As (0.8750, 0.6250, 0.7500)
As (0.1250, 0.3750, 0.2500)
H (0.2546, 0.0044, 0.5095)
H (0.5044, 0.7546, 0.0095)
H (0.7454, 0.9956, 0.4905)
H (0.4956, 0.2454, 0.9905)

## Properties
Energy above the lowest structure with this stoichiometry (kJ/mol of atoms): 0.0
Calculated total energy (eV/cell): -60.476

17.
Material: EuTlAu
Method: DFT, PBE
State: optimized geometry

Cell lengths 3.9405, 3.9405, 5.8149 Å; angles 109.81, 109.81, 90.00 degrees
Element x y z (fractional)
Eu (0.9408, 0.9408, 0.8816)
Tl (0.6269, 0.6269, 0.2537)
Au (0.2823, 0.2823, 0.5646)

## Properties
Calculated total energy (eV/cell): -17.340
Formation energy (meV per atom): -474

18.
Material: In2Sn2Hg
Method: DFT, PBE
State: optimized geometry

Cell lengths 4.3508, 4.3508, 8.4462 Å; angles 75.07, 75.07, 90.00 degrees
Element x y z (fractional)
In (0.4033, 0.4033, 0.1934)
In (0.5967, 0.5967, 0.8066)
Hg (0.0000, 0.0000, 0.0000)
Sn (0.7500, 0.2500, 0.5000)
Sn (0.2500, 0.7500, 0.5000)

## Properties
Energy above the lowest structure with this stoichiometry (kJ/mol of atoms): 3.5
Calculated total energy (eV/cell): -13.355
Formation energy (meV per atom): 86